1.
# HfZrSb2

A relaxed HfZrSb2 crystal (PBE, the Alexandria database).

Raw total energy = -6.484 eV per atom
V = 276.6 Å³/cell
E_form (uncorrected) = 0.203 eV per atom
Energy relative to the lowest polymorph listed for this composition = 0.693 eV/atom

Unit cell a=6.5273 b=6.5273 c=7.9660 alpha=65.81 beta=65.81 gamma=90.00
Element x y z (fractional)
Hf1 0.7500 0.2500 0.5000
Zr1 0.5000 0.5000 0.0000
Zr2 0.2500 0.7500 0.5000
Hf2 0.0000 0.0000 0.0000
Sb1 0.8750 0.8799 0.7500
Sb2 0.1201 0.6250 0.2500
Sb3 0.3750 0.3701 0.7500
Sb4 0.6299 0.1250 0.2500

2.
# Hf2Zr3Sb3

A relaxed Hf2Zr3Sb3 crystal (PBE, the Alexandria database).

Raw total energy = -7.823 eV per atom
V = 358.5 Å³/cell
E_form (uncorrected) = -0.583 eV per atom
Energy relative to the lowest polymorph listed for this composition = 0.000 eV/atom

Unit cell a=5.7648 b=8.4745 c=8.4745 alpha=120.00 beta=90.00 gamma=90.00
Element x y z (fractional)
Sb1 0.7500 0.0000 0.6113
Zr1 0.7500 0.7463 0.7463
Hf1 0.0000 0.6667 0.3333
Hf2 0.5000 0.6667 0.3333
Zr2 0.7500 0.0000 0.2537
Zr3 0.2500 0.0000 0.7463
Zr4 0.7500 0.2537 0.0000
Sb2 0.2500 0.3887 0.0000
Sb3 0.2500 0.0000 0.3887
Hf3 0.5000 0.3333 0.6667
Zr5 0.2500 0.7463 0.0000
Sb4 0.7500 0.3887 0.3887
Sb5 0.2500 0.6113 0.6113
Sb6 0.7500 0.6113 0.0000
Hf4 0.0000 0.3333 0.6667
Zr6 0.2500 0.2537 0.2537

3.
# Hf12Zr5Sb3

A relaxed Hf12Zr5Sb3 crystal (PBE, the Alexandria database).

Raw total energy = -7.677 eV per atom
V = 2340.7 Å³/cell
E_form (uncorrected) = 1.050 eV per atom

Unit cell a=14.4873 b=14.4873 c=14.4873 alpha=109.47 beta=109.47 gamma=109.47
Element x y z (fractional)
Zr1 0.6250 0.7500 0.8750
Hf1 0.9264 0.3538 0.2745
Zr2 0.3750 0.2500 0.1250
Hf2 0.5736 0.3481 0.9274
Hf3 0.9274 0.0793 0.8538
Zr3 0.7500 0.6250 0.3750
Sb1 0.7500 0.8750 0.6250
Sb2 0.7500 0.3750 0.1250
Hf4 0.3481 0.5736 0.4274
Hf5 0.4264 0.6519 0.0726
Hf6 0.1519 0.0726 0.9264
Zr4 0.1250 0.3750 0.2500
Hf7 0.5726 0.6462 0.4207
Hf8 0.1462 0.4207 0.0726
Zr5 0.0000 0.5000 0.5000
Zr6 0.5000 0.5000 0.0000
Sb3 0.1250 0.8750 0.7500
Hf9 0.7745 0.4264 0.3538
Zr7 0.8750 0.2500 0.6250
Zr8 0.1250 0.7500 0.3750
Sb4 0.8750 0.1250 0.2500
Hf10 0.4207 0.1462 0.5726
Hf11 0.5736 0.2255 0.1462
Hf12 0.0736 0.6462 0.7255
Zr9 0.5000 0.0000 0.5000
Hf13 0.7745 0.3481 0.9207
Hf14 0.6519 0.4264 0.5726
Zr10 0.0000 0.0000 0.5000
Hf15 0.1462 0.7255 0.5736
Hf16 0.2255 0.6519 0.0793
Hf17 0.3481 0.7745 0.4207
Hf18 0.9207 0.8481 0.7745
Hf19 0.0736 0.4274 0.8481
Hf20 0.4274 0.3538 0.5793
Zr11 0.5000 0.0000 0.0000
Hf21 0.3538 0.4274 0.0793
Hf22 0.2745 0.4207 0.8481
Sb5 0.2500 0.1250 0.3750
Zr12 0.0000 0.0000 0.0000
Hf23 0.8481 0.9207 0.2745
Sb6 0.6250 0.2500 0.3750
Hf24 0.5793 0.7255 0.6519
Hf25 0.9207 0.0726 0.6462
Hf26 0.4264 0.7745 0.8538
Zr13 0.0000 0.5000 0.0000
Zr14 0.2500 0.8750 0.1250
Hf27 0.4274 0.0736 0.3481
Hf28 0.6462 0.5726 0.9207
Hf29 0.8481 0.9274 0.0736
Hf30 0.3538 0.9264 0.7745
Hf31 0.7255 0.5793 0.1519
Hf32 0.0726 0.1519 0.4264
Sb7 0.2500 0.6250 0.8750
Hf33 0.6519 0.2255 0.5793
Hf34 0.4207 0.2745 0.3481
Hf35 0.5726 0.9264 0.6519
Zr15 0.7500 0.1250 0.8750
Hf36 0.0726 0.9207 0.1462
Hf37 0.1519 0.0793 0.7255
Hf38 0.8538 0.5793 0.9274
Hf39 0.7255 0.1462 0.0736
Sb8 0.6250 0.3750 0.7500
Hf40 0.0793 0.9274 0.3538
Hf41 0.9274 0.8481 0.5736
Zr16 0.6250 0.8750 0.2500
Hf42 0.9264 0.5726 0.1519
Sb9 0.1250 0.2500 0.8750
Zr17 0.3750 0.1250 0.7500
Zr18 0.2500 0.3750 0.6250
Hf43 0.2745 0.8538 0.9264
Sb10 0.3750 0.6250 0.2500
Hf44 0.6462 0.0736 0.2255
Hf45 0.0793 0.1519 0.2255
Hf46 0.8538 0.2745 0.4264
Sb11 0.3750 0.7500 0.6250
Zr19 0.8750 0.6250 0.7500
Sb12 0.8750 0.7500 0.1250
Hf47 0.5793 0.8538 0.4274
Hf48 0.2255 0.5736 0.6462
Zr20 0.5000 0.5000 0.5000

4.
# HfZrSb3

A relaxed HfZrSb3 crystal (PBE, the Alexandria database).

Raw total energy = -5.606 eV per atom
V = 159.9 Å³/cell
E_form (uncorrected) = 0.567 eV per atom
Energy relative to the lowest polymorph listed for this composition = 0.000 eV/atom

Unit cell a=5.4273 b=5.4273 c=5.4273 alpha=90.00 beta=90.00 gamma=90.00
Element x y z (fractional)
Hf1 0.0000 0.0000 0.0000
Zr1 0.5000 0.5000 0.5000
Sb1 0.0000 0.0000 0.5000
Sb2 0.0000 0.5000 0.0000
Sb3 0.5000 0.0000 0.0000

5.
# Hf4ZrSb

A relaxed Hf4ZrSb crystal (PBE, the Alexandria database).

Raw total energy = -8.367 eV per atom
V = 308.7 Å³/cell
E_form (uncorrected) = 0.381 eV per atom

Unit cell a=6.7918 b=6.7918 c=6.6922 alpha=90.00 beta=90.00 gamma=90.00
Element x y z (fractional)
Zr1 0.0000 0.5000 0.5000
Sb1 0.0000 0.0000 0.0000
Hf1 0.7500 0.7500 0.7351
Zr2 0.5000 0.0000 0.5000
Hf2 0.7500 0.2500 0.2648
Hf3 0.2500 0.7500 0.2649
Hf4 0.7500 0.2500 0.7351
Hf5 0.2500 0.2500 0.2649
Sb2 0.5000 0.5000 0.0000
Hf6 0.2500 0.2500 0.7352
Hf7 0.7500 0.7500 0.2648
Hf8 0.2500 0.7500 0.7352

6.
# Hf2Zr2Sb3

A relaxed Hf2Zr2Sb3 crystal (PBE, the Alexandria database).

Raw total energy = -7.438 eV per atom
V = 336.6 Å³/cell
E_form (uncorrected) = -0.385 eV per atom

Unit cell a=7.4139 b=7.3008 c=6.6078 alpha=90.00 beta=70.26 gamma=90.00
Element x y z (fractional)
Zr1 0.9561 0.3081 0.6368
Hf1 0.8654 0.6529 0.9378
Zr2 0.0439 0.6919 0.3632
Sb1 0.5000 0.5000 0.0000
Sb2 0.2537 0.5668 0.6466
Sb3 0.7537 0.9332 0.6466
Zr3 0.5439 0.8081 0.3632
Hf2 0.1346 0.3471 0.0622
Zr4 0.4561 0.1919 0.6368
Sb4 0.0000 0.0000 0.0000
Sb5 0.2463 0.0668 0.3534
Sb6 0.7463 0.4332 0.3534
Hf3 0.3654 0.8471 0.9378
Hf4 0.6346 0.1529 0.0622

- What is the formula in the fifth record?
  Hf4ZrSb

- raw total energy of number 1 (HfZrSb2)?
  -6.484 eV per atom

- The highest E_form (uncorrected) belongs to which entry?
  Hf12Zr5Sb3

- Among the records above, which one has the highest raw total energy?
  HfZrSb3